1.
An optimized crystal structure of BeCu2SbAs. Source: Alexandria via LeMat-Bulk, functional PBE.

**Formation energy from raw total energies**: 0.479 eV/atom
**M_tot**: 0.00 μB per formula unit
**Electronic total energy**: -3.66 eV per atom
**D(E_F)**: 2.802 states/eV/f.u.

Cell lengths 4.473, 4.473, 4.244 Å; angles 90.00, 90.00, 90.00 degrees
Space group P4/mmm (No. 123)
Unique sites:
Be: 0.000 0.000 0.000 (multiplicity 1)
Cu: 0.000 0.500 0.000 (multiplicity 2)
Sb: 0.500 0.500 0.500 (multiplicity 1)
As: 0.000 0.000 0.500 (multiplicity 1)

2.
An optimized crystal structure of Tb2Tm2Mg3. Source: Alexandria via LeMat-Bulk, functional PBE.

**M_tot**: 0.00 μB per formula unit
**Electronic total energy**: -3.34 eV per atom
**E_form**: -0.05 eV/atom
**D(E_F)**: 10.145 states/eV/f.u.

Cell lengths 3.728, 3.728, 27.768 Å; angles 90.00, 90.00, 90.00 degrees
Space group I4/mmm (No. 139)
Unique sites:
Tb: 0.000 0.000 0.069 (multiplicity 4)
Tm: 0.000 0.000 0.209 (multiplicity 4)
Mg: 0.000 0.000 0.360 (multiplicity 4)
Mg: 0.000 0.000 0.500 (multiplicity 2)

Which of these has the lowest D(E_F)? BeCu2SbAs